# 1
Ac3CoBi | PBE | relaxed Values from VASP.

```
&SYSTEM
  ibrav = 0, nat = 10, ntyp = 3
/
ATOMIC_SPECIES
Ac 227.00 Ac.upf
Co 58.93 Co.upf
Bi 208.98 Bi.upf
ATOMIC_POSITIONS crystal
Ac 0.500 0.262 0.000
Ac 0.000 0.865 0.731
Ac 0.500 0.738 0.000
Ac 0.500 0.500 0.500
Ac 0.000 0.135 0.269
Ac 0.500 0.000 0.500
Co 0.500 0.133 0.265
Co 0.500 0.867 0.735
Bi 0.000 0.637 0.275
Bi 0.000 0.363 0.725
CELL_PARAMETERS angstrom
-2.446 -4.522 1.902
-0.620 -2.699 -7.214
7.621 -2.296 4.343
```

Results
- energy of formation from the pure elements (eV per atom) = -0.37
- space-group type = Cmmm
- energy (eV/atom) = -5.033

---

# 2
PrPu4P5 | PBE | relaxed Values from VASP.

```
&SYSTEM
  ibrav = 0, nat = 10, ntyp = 3
/
ATOMIC_SPECIES
Pr 140.91 Pr.upf
Pu 244.00 Pu.upf
P 30.97 P.upf
ATOMIC_POSITIONS crystal
Pr 0.000 0.000 0.000
Pu 0.401 0.401 0.801
Pu 0.798 0.798 0.595
Pu 0.202 0.202 0.405
Pu 0.599 0.599 0.199
P 0.607 0.107 0.213
P 0.801 0.301 0.602
P 0.199 0.699 0.398
P 0.000 0.500 0.000
P 0.393 0.893 0.787
CELL_PARAMETERS angstrom
-3.146 2.204 -1.244
-3.065 -4.760 -0.683
-0.143 2.006 10.470
```

Results
- energy of formation from the pure elements (eV per atom) = -1.18
- space-group type = Immm
- energy (eV/atom) = -10.091